# USbAu, relaxed, DFT GGA-PBE
data_USbAu
_chemical_formula_sum 'U6 Sb6 Au6'
_space_group_name_H-M_alt 'R -3 m'
_space_group_IT_number 166
_space_group_name_Hall '-R 3 2"'
_cell_length_a 4.8120
_cell_length_b 4.8120
_cell_length_c 22.5907
_cell_angle_alpha 90.00
_cell_angle_beta 90.00
_cell_angle_gamma 120.00
loop_
_atom_site_label
_atom_site_type_symbol
_atom_site_fract_x
_atom_site_fract_y
_atom_site_fract_z
U1 U 0.0000 0.0000 0.1662
Sb1 Sb 0.0000 0.0000 0.4252
Au1 Au 0.0000 0.0000 0.3022
# - calculated density (g/cm³) = 12.2
# - E_form (uncorrected) (eV per atom) = 0.069